No. 1
Below is Pr2DyTe after structural relaxation, with properties calculated at the GGA-PBE level.

Properties
Total DFT energy (no corrections), eV/atom: -4.847
Excess energy over the best structure of this formula in the dataset, eV per atom: 0.053
Uncorrected formation energy, meV per atom: -521

a b c (Å): 3.9885 3.9885 10.3929
angles (deg): 78.94 78.94 60.00
With the nearest neighbours (Å) after each atom.
Positions (direct):
Dy1 0.5000 0.5000 0.5000  6 Pr 3.67, 6 Dy 3.99
Te1 0.0000 0.0000 0.0000  6 Pr 3.19
Pr1 0.2606 0.2606 0.2183  3 Te 3.19
Pr2 0.7394 0.7394 0.7817  3 Te 3.19

No. 2
Below is Pr3Dy2Te6 after structural relaxation, with properties calculated at the GGA-PBE level.

Properties
Total DFT energy (no corrections), eV/atom: -5.244
Uncorrected formation energy, meV per atom: -1390

a b c (Å): 4.4402 4.4402 22.3448
angles (deg): 84.30 84.30 60.00
With the nearest neighbours (Å) after each atom.
Positions (direct):
Dy1 0.5510 0.5510 0.3470  6 Te 3.00-3.21
Dy2 0.4490 0.4490 0.6530  6 Te 3.00-3.21
Te1 0.3618 0.3618 0.9144  6 Pr 3.17-3.19
Te2 0.0865 0.0865 0.7404  3 Dy 3.21, 3 Pr 3.25
Te3 0.8058 0.8058 0.5827  3 Dy 3.00
Te4 0.9135 0.9135 0.2596  3 Dy 3.21, 3 Pr 3.25
Te5 0.1942 0.1942 0.4173  3 Dy 3.00
Te6 0.6382 0.6382 0.0856  6 Pr 3.17-3.19
Pr1 0.7233 0.7233 0.8301  6 Te 3.17-3.25
Pr2 0.0000 0.0000 0.0000  6 Te 3.19
Pr3 0.2767 0.2767 0.1699  6 Te 3.17-3.25

No. 3
Below is PrDyTe2 after structural relaxation, with properties calculated at the GGA-PBE level.

Properties
Total DFT energy (no corrections), eV/atom: -5.306
Excess energy over the best structure of this formula in the dataset, eV per atom: 0.000
Uncorrected formation energy, meV per atom: -1389

a b c (Å): 4.3187 4.3187 8.1055
angles (deg): 74.55 74.55 60.00
With the nearest neighbours (Å) after each atom.
Positions (direct):
Te1 0.0783 0.0783 0.7651  3 Dy 3.03, 3 Pr 3.17
Te2 0.2548 0.2548 0.2355  3 Dy 3.14, 3 Pr 3.28
Dy1 0.6707 0.6707 0.9880  6 Te 3.03-3.14
Pr1 0.4962 0.4962 0.5113  6 Te 3.17-3.28

No. 4
Below is PrDyTe3 after structural relaxation, with properties calculated at the GGA-PBE level.

Properties
Total DFT energy (no corrections), eV/atom: -5.185
Uncorrected formation energy, meV per atom: -1424

a b c (Å): 4.3358 7.4677 10.8661
angles (deg): 90.00 90.00 106.88
With the nearest neighbours (Å) after each atom.
Positions (direct):
Te1 0.6463 0.2927 0.4377  2 Dy 3.09, 2 Pr 3.32
Te2 0.0891 0.1782 0.7500  2 Dy 3.00, 2 Pr 3.17
Te3 0.6463 0.2927 0.0623  2 Dy 3.09, 2 Pr 3.32
Te4 0.9109 0.8218 0.2500  2 Dy 3.00, 2 Pr 3.17
Te5 0.3537 0.7073 0.9377  2 Dy 3.09, 2 Pr 3.32
Te6 0.3537 0.7073 0.5623  2 Dy 3.09, 2 Pr 3.32
Pr1 0.2493 0.4986 0.2500  6 Te 3.17-3.32
Pr2 0.7507 0.5014 0.7500  6 Te 3.17-3.32
Dy1 0.0000 0.0000 0.0000  6 Te 3.00-3.09
Dy2 0.0000 0.0000 0.5000  6 Te 3.00-3.09

No. 5
Below is PrDy5Te6 after structural relaxation, with properties calculated at the GGA-PBE level.

Properties
Total DFT energy (no corrections), eV/atom: -5.195
Uncorrected formation energy, meV per atom: -1308

a b c (Å): 7.5864 7.5864 7.6123
angles (deg): 99.47 99.47 120.26
With the nearest neighbours (Å) after each atom.
Positions (direct):
Te1 0.2623 0.2623 0.7523  5 Dy 3.03-3.06, 1 Pr 3.16
Te2 0.9143 0.5689 0.7415  5 Dy 3.10-3.11, 1 Pr 3.21
Te3 0.7377 0.7377 0.2477  5 Dy 3.03-3.06, 1 Pr 3.16
Te4 0.0857 0.4311 0.2585  5 Dy 3.10-3.11, 1 Pr 3.21
Te5 0.5689 0.9143 0.7415  5 Dy 3.10-3.11, 1 Pr 3.21
Te6 0.4311 0.0857 0.2585  5 Dy 3.10-3.11, 1 Pr 3.21
Dy1 0.6664 0.3336 0.0000  6 Te 3.06-3.10
Dy2 0.3336 0.6664 0.0000  6 Te 3.06-3.10
Dy3 0.1550 0.8450 0.5000  6 Te 3.04-3.10
Dy4 0.8450 0.1550 0.5000  6 Te 3.04-3.10
Dy5 0.5000 0.5000 0.5000  6 Te 3.03-3.11
Pr1 0.0000 0.0000 0.0000  6 Te 3.16-3.21

No. 6
Below is PrDyTe after structural relaxation, with properties calculated at the GGA-PBE level.

Properties
Total DFT energy (no corrections), eV/atom: -4.952
Excess energy over the best structure of this formula in the dataset, eV per atom: 0.028
Uncorrected formation energy, meV per atom: -778

a b c (Å): 3.9499 3.9499 6.5510
angles (deg): 107.55 107.55 90.00
With the nearest neighbours (Å) after each atom.
Positions (direct):
Te1 0.6776 0.6776 0.3553  4 Dy 3.23, 4 Pr 3.45
Pr1 0.0073 0.0073 0.0146  4 Te 3.45, 5 Dy 3.60-3.65
Dy1 0.3151 0.3151 0.6302  4 Te 3.23, 4 Pr 3.60

No. 7
Below is PrDy2Te after structural relaxation, with properties calculated at the GGA-PBE level.

Properties
Total DFT energy (no corrections), eV/atom: -4.946
Excess energy over the best structure of this formula in the dataset, eV per atom: 0.000
Uncorrected formation energy, meV per atom: -664

a b c (Å): 4.0018 6.4619 9.9416
angles (deg): 90.00 90.00 108.02
With the nearest neighbours (Å) after each atom.
Positions (direct):
Pr1 0.0545 0.1090 0.7500  3 Te 3.31-3.51, 4 Dy 3.61
Pr2 0.9455 0.8910 0.2500  3 Te 3.31-3.51, 4 Dy 3.61
Dy1 0.6367 0.2731 0.0345  3 Te 3.15-3.27, 3 Dy 3.43-3.50
Dy2 0.6367 0.2731 0.4655  3 Te 3.15-3.27, 3 Dy 3.43-3.50
Dy3 0.3633 0.7269 0.9655  3 Te 3.15-3.27, 3 Dy 3.43-3.50
Dy4 0.3633 0.7269 0.5345  3 Te 3.15-3.27, 3 Dy 3.43-3.50
Te1 0.2308 0.4615 0.2500  6 Dy 3.15-3.27, 3 Pr 3.31-3.51
Te2 0.7692 0.5385 0.7500  6 Dy 3.15-3.27, 3 Pr 3.31-3.51

No. 8
Below is PrDy2Te after structural relaxation, with properties calculated at the GGA-PBE level.

Properties
Total DFT energy (no corrections), eV/atom: -4.544
Excess energy over the best structure of this formula in the dataset, eV per atom: 0.402
Uncorrected formation energy, meV per atom: -262

a b c (Å): 3.8345 3.8345 11.1099
angles (deg): 80.06 80.06 60.00
With the nearest neighbours (Å) after each atom.
Positions (direct):
Dy1 0.8961 0.8961 0.3117  3 Te 3.02
Dy2 0.1039 0.1039 0.6883  3 Te 3.02
Pr1 0.0000 0.0000 0.0000  2 Dy 3.39
Te1 0.5000 0.5000 0.5000  6 Dy 3.02